# 1
## Sc4Re2Ni (GGA-PBE)

Data for an optimized crystal structure of Sc4Re2Ni.

DOS at the Fermi energy = 1.26 states/eV per atom
Formation energy = 0.4840 eV/atom

Lattice parameters (Å, degrees): 7.2303 7.2303 7.2303 140.16 140.16 57.62
Element x y z (fractional)
Sc1 0.0000 0.5000 0.5000
Sc2 0.1953 0.1953 0.0000
Sc3 0.5000 0.0000 0.5000
Sc4 0.8047 0.8047 0.0000
Re1 0.4030 0.4030 0.0000
Re2 0.5970 0.5970 0.0000
Ni1 0.0000 0.0000 0.0000

# 2
## AsPb2 (GGA-PBE)

Data for an optimized crystal structure of AsPb2.

Relative energy among the computed polymorphs = 0.0661 eV per atom
DOS at the Fermi energy = 0.37 states/eV per atom
Formation energy = 0.0679 eV/atom

Lattice parameters (Å, degrees): 6.0949 6.0949 6.0949 106.42 106.42 115.76
Element x y z (fractional)
As1 0.2500 0.2500 0.0000
As2 0.7500 0.7500 0.0000
Pb1 0.1644 0.6644 0.8288
Pb2 0.3356 0.1644 0.5000
Pb3 0.6644 0.8356 0.5000
Pb4 0.8356 0.3356 0.1712

# 3
## MgScTc3 (GGA-PBE)

Data for an optimized crystal structure of MgScTc3.

Relative energy among the computed polymorphs = 0.0000 eV per atom
DOS at the Fermi energy = 1.78 states/eV per atom
Formation energy = 1.5409 eV/atom

Lattice parameters (Å, degrees): 4.5524 4.5524 4.5524 90.00 90.00 90.00
Element x y z (fractional)
Mg1 0.0000 0.0000 0.0000
Sc1 0.5000 0.5000 0.5000
Tc1 0.0000 0.0000 0.5000
Tc2 0.0000 0.5000 0.0000
Tc3 0.5000 0.0000 0.0000

# 4
## HRuS2 (GGA-PBE)

Data for an optimized crystal structure of HRuS2.

Relative energy among the computed polymorphs = 0.0000 eV per atom
DOS at the Fermi energy = 0.64 states/eV per atom

Lattice parameters (Å, degrees): 5.9088 5.9088 5.9088 35.62 35.62 35.62
Element x y z (fractional)
H1 0.0000 0.0000 0.0000
Ru1 0.5000 0.5000 0.5000
S1 0.0980 0.0980 0.0980
S2 0.9020 0.9020 0.9020

# 5
## PmZn2TeO8 (GGA-PBE)

Data for an optimized crystal structure of PmZn2TeO8.

Uncorrected formation energy = -1114 meV per atom
DOS at the Fermi energy = 0.64 states/eV per atom

Lattice parameters (Å, degrees): 5.9086 5.9086 5.9086 108.13 108.13 112.19
Element x y z (fractional)
Pm1 0.0000 0.0000 0.0000
Zn1 0.5000 0.5000 0.0000
Zn2 0.7500 0.2500 0.5000
Te1 0.2500 0.7500 0.5000
O1 0.3003 0.0907 0.7903
O2 0.3003 0.5100 0.2097
O3 0.3551 0.0190 0.3361
O4 0.4900 0.6997 0.7903
O5 0.6829 0.0190 0.6639
O6 0.9093 0.6997 0.2097
O7 0.9810 0.3171 0.3361
O8 0.9810 0.6449 0.6639

# 6
## NaPmCu (GGA-PBE)

Data for an optimized crystal structure of NaPmCu.

DOS at the Fermi energy = 0.76 states/eV per atom
Formation energy = 0.0301 eV/atom

Lattice parameters (Å, degrees): 14.4019 14.4019 14.4019 166.32 166.32 19.40
Element x y z (fractional)
Na1 0.0613 0.0613 0.0000
Na2 0.9387 0.9387 0.0000
Pm1 0.3328 0.3328 0.0000
Pm2 0.6672 0.6672 0.0000
Cu1 0.2301 0.2301 0.0000
Cu2 0.7699 0.7699 0.0000

# 7
## CsAgBi3 (GGA-PBE)

Data for an optimized crystal structure of CsAgBi3.

Relative energy among the computed polymorphs = 0.0000 eV per atom
DOS at the Fermi energy = 0.78 states/eV per atom
Formation energy = 0.1664 eV/atom

Lattice parameters (Å, degrees): 5.7446 5.7446 5.7446 90.00 90.00 90.00
Element x y z (fractional)
Cs1 0.0000 0.0000 0.0000
Ag1 0.5000 0.5000 0.5000
Bi1 0.0000 0.5000 0.5000
Bi2 0.5000 0.0000 0.5000
Bi3 0.5000 0.5000 0.0000

# 8
## Li2HoCr2N4 (GGA-PBE)

Data for an optimized crystal structure of Li2HoCr2N4.

Uncorrected formation energy = -739 meV per atom
DOS at the Fermi energy = 0.38 states/eV per atom

Lattice parameters (Å, degrees): 5.4056 5.4056 8.0042 121.87 121.87 34.92
Element x y z (fractional)
Li1 0.1397 0.1397 0.2465
Li2 0.8603 0.8603 0.7535
Ho1 0.0000 0.0000 0.5000
Cr1 0.3428 0.3428 0.1244
Cr2 0.6572 0.6572 0.8756
N1 0.2345 0.2345 0.8350
N2 0.4586 0.4586 0.6792
N3 0.5414 0.5414 0.3209
N4 0.7655 0.7655 0.1650

# 9
## Ti3Os (GGA-PBE)

Data for an optimized crystal structure of Ti3Os.

DOS at the Fermi energy = 1.52 states/eV per atom
Formation energy = -0.1855 eV/atom

Lattice parameters (Å, degrees): 5.3382 5.3382 5.3382 139.68 139.68 58.34
Element x y z (fractional)
Ti1 0.0000 0.0000 0.0000
Ti2 0.2500 0.7500 0.5000
Ti3 0.7500 0.2500 0.5000
Os1 0.5000 0.5000 0.0000

# 10
## NpTc2Ge (GGA-PBE)

Data for an optimized crystal structure of NpTc2Ge.

Relative energy among the computed polymorphs = 0.0518 eV per atom
DOS at the Fermi energy = 2.13 states/eV per atom
Formation energy = -0.0512 eV/atom

Lattice parameters (Å, degrees): 4.5548 4.5548 4.5548 60.00 60.00 60.00
Element x y z (fractional)
Np1 0.0000 0.0000 0.0000
Tc1 0.2500 0.2500 0.2500
Tc2 0.7500 0.7500 0.7500
Ge1 0.5000 0.5000 0.5000

# 11
## Rb2Nd2NpS6 (GGA-PBE)

Data for an optimized crystal structure of Rb2Nd2NpS6.

Uncorrected formation energy = -1678 meV per atom
DOS at the Fermi energy = 0.57 states/eV per atom

Lattice parameters (Å, degrees): 7.1616 7.1616 8.2218 98.57 98.57 119.66
Element x y z (fractional)
Rb1 0.1699 0.8301 0.0000
Rb2 0.8301 0.1699 0.0000
Nd1 0.3340 0.6660 0.5000
Nd2 0.6660 0.3340 0.5000
Np1 0.0000 0.0000 0.5000
S1 0.0616 0.3829 0.6882
S2 0.2514 0.2514 0.3121
S3 0.3829 0.0616 0.6882
S4 0.6171 0.9384 0.3118
S5 0.7486 0.7486 0.6879
S6 0.9384 0.6171 0.3118

Question: Which value of DOS at the Fermi energy does entry 4 give?
Answer: 0.64 states/eV per atom